Record 1
# CrCo2H PBE optimized geometry
data_CrCo2H
_cell_length_a 2.5327
_cell_length_b 2.5327
_cell_length_c 18.6896
_cell_angle_alpha 90.00
_cell_angle_beta 90.00
_cell_angle_gamma 120.00
_symmetry_space_group_name_H-M 'R -3 m'
_symmetry_Int_Tables_number 166
_symmetry_space_group_name_Hall '-R 3 2"'
loop_
_atom_site_label
_atom_site_type_symbol
_atom_site_fract_x
_atom_site_fract_y
_atom_site_fract_z
Cr1 Cr 0.0000 0.0000 0.0000
Co1 Co 0.0000 0.0000 0.2260
H1 H 0.0000 0.0000 0.5000
# DFT total energy = -6.7344 eV/atom
# Calculated volume = 104 Å³/cell

Record 2
# Cs3SmTe2O8 PBE optimized geometry
data_Cs3SmTe2O8
_cell_length_a 6.5550
_cell_length_b 6.5550
_cell_length_c 8.6870
_cell_angle_alpha 90.00
_cell_angle_beta 90.00
_cell_angle_gamma 120.00
_symmetry_space_group_name_H-M 'P -3 m 1'
_symmetry_Int_Tables_number 164
_symmetry_space_group_name_Hall '-P 3 2"'
loop_
_atom_site_label
_atom_site_type_symbol
_atom_site_fract_x
_atom_site_fract_y
_atom_site_fract_z
Cs1 Cs 0.0000 0.0000 0.0000
Cs2 Cs 0.3333 0.6667 0.7671
Sm1 Sm 0.0000 0.0000 0.5000
Te1 Te 0.3333 0.6667 0.3024
O1 O 0.1620 0.3240 0.3328
O2 O 0.3333 0.6667 0.0893
# Formation energy from raw total energies = -2208.5 kJ/mol of formula units
# Calculated volume = 323 Å³/cell

Record 3
# ScTiCrAu2 PBE optimized geometry
data_ScTiCrAu2
_cell_length_a 4.964
_cell_length_b 4.964
_cell_length_c 4.465
_cell_angle_alpha 90.00
_cell_angle_beta 90.00
_cell_angle_gamma 90.00
_symmetry_space_group_name_H-M 'P 4/m m m'
_symmetry_Int_Tables_number 123
_symmetry_space_group_name_Hall '-P 4 2'
loop_
_atom_site_label
_atom_site_type_symbol
_atom_site_fract_x
_atom_site_fract_y
_atom_site_fract_z
Sc1 Sc 0.000 0.000 0.000
Ti1 Ti 0.000 0.000 0.500
Cr1 Cr 0.500 0.500 0.500
Au1 Au 0.000 0.500 0.000
# Calculated volume = 110 Å³/cell
# ΔE_f = 1.4009 eV/atom

Record 4
# Rb2LaTlCl6 PBE optimized geometry
data_Rb2LaTlCl6
_cell_length_a 11.703
_cell_length_b 11.703
_cell_length_c 11.703
_cell_angle_alpha 90.00
_cell_angle_beta 90.00
_cell_angle_gamma 90.00
_symmetry_space_group_name_H-M 'F m -3 m'
_symmetry_Int_Tables_number 225
_symmetry_space_group_name_Hall '-F 4 2 3'
loop_
_atom_site_label
_atom_site_type_symbol
_atom_site_fract_x
_atom_site_fract_y
_atom_site_fract_z
Rb1 Rb 0.250 0.250 0.250
La1 La 0.000 0.000 0.000
Tl1 Tl 0.000 0.000 0.500
Cl1 Cl 0.000 0.000 0.237
# Formation energy from raw total energies = -1840.9 kJ/mol of formula units
# Calculated volume = 1603 Å³/cell

Record 5
# Nd10HoSc4 PBE optimized geometry
data_Nd10HoSc4
_cell_length_a 11.245
_cell_length_b 11.245
_cell_length_c 8.220
_cell_angle_alpha 90.00
_cell_angle_beta 90.00
_cell_angle_gamma 90.00
_symmetry_space_group_name_H-M 'I 4/m'
_symmetry_Int_Tables_number 87
_symmetry_space_group_name_Hall '-I 4'
loop_
_atom_site_label
_atom_site_type_symbol
_atom_site_fract_x
_atom_site_fract_y
_atom_site_fract_z
Nd1 Nd 0.000 0.500 0.250
Nd2 Nd 0.114 0.230 0.195
Ho1 Ho 0.000 0.000 0.000
Sc1 Sc 0.066 0.789 0.500
# Calculated volume = 1039 Å³/cell
# ΔE_f = 0.5218 eV/atom

Record 6
# Pm6Y3Ho2Er PBE optimized geometry
data_Pm6Y3Ho2Er
_cell_length_a 6.247
_cell_length_b 10.816
_cell_length_c 11.831
_cell_angle_alpha 90.00
_cell_angle_beta 100.09
_cell_angle_gamma 90.00
_symmetry_space_group_name_H-M 'C 1 2/m 1'
_symmetry_Int_Tables_number 12
loop_
_symmetry_equiv_pos_as_xyz
'x,y,z'
'-x,-y,-z'
'-x,y,-z'
'x,-y,z'
'x+1/2,y+1/2,z'
'-x+1/2,-y+1/2,-z'
'-x+1/2,y+1/2,-z'
'x+1/2,-y+1/2,z'
loop_
_atom_site_label
_atom_site_type_symbol
_atom_site_fract_x
_atom_site_fract_y
_atom_site_fract_z
Pm1 Pm 0.250 0.000 0.248
Pm2 Pm 0.250 0.167 0.752
Y1 Y 0.000 0.000 0.500
Y2 Y 0.000 0.333 0.500
Ho1 Ho 0.000 0.167 0.000
Er1 Er 0.000 0.500 0.000
# Calculated volume = 787 Å³/cell
# ΔE_f = 0.0120 eV/atom

Record 7
# ReTe2 PBE optimized geometry
data_ReTe2
_cell_length_a 14.264
_cell_length_b 3.322
_cell_length_c 8.279
_cell_angle_alpha 90.00
_cell_angle_beta 112.78
_cell_angle_gamma 90.00
_symmetry_space_group_name_H-M 'C 1 m 1'
_symmetry_Int_Tables_number 8
loop_
_symmetry_equiv_pos_as_xyz
'x,y,z'
'x,-y,z'
'x+1/2,y+1/2,z'
'x+1/2,-y+1/2,z'
loop_
_atom_site_label
_atom_site_type_symbol
_atom_site_fract_x
_atom_site_fract_y
_atom_site_fract_z
Re1 Re 0.000 0.000 0.000
Re2 Re 0.123 0.500 0.337
Te1 Te 0.159 0.000 0.594
Te2 Te 0.159 0.500 0.046
Te3 Te 0.412 0.000 0.733
Te4 Te 0.429 0.000 0.198
# Formation energy from raw total energies = 103.9 kJ/mol of formula units
# Calculated volume = 362 Å³/cell

Record 8
# PRhAuS2 PBE optimized geometry
data_PRhAuS2
_cell_length_a 4.861
_cell_length_b 4.861
_cell_length_c 4.652
_cell_angle_alpha 90.00
_cell_angle_beta 90.00
_cell_angle_gamma 90.00
_symmetry_space_group_name_H-M 'P 4/m m m'
_symmetry_Int_Tables_number 123
_symmetry_space_group_name_Hall '-P 4 2'
loop_
_atom_site_label
_atom_site_type_symbol
_atom_site_fract_x
_atom_site_fract_y
_atom_site_fract_z
P1 P 0.000 0.000 0.000
Rh1 Rh 0.500 0.500 0.000
Au1 Au 0.000 0.000 0.500
S1 S 0.000 0.500 0.500
# Formation energy from raw total energies = 632.5 kJ/mol of formula units
# Calculated volume = 110 Å³/cell

Record 9
# PmThPd PBE optimized geometry
data_PmThPd
_cell_length_a 11.179
_cell_length_b 3.776
_cell_length_c 8.272
_cell_angle_alpha 90.00
_cell_angle_beta 100.68
_cell_angle_gamma 90.00
_symmetry_space_group_name_H-M 'C 1 2/m 1'
_symmetry_Int_Tables_number 12
loop_
_symmetry_equiv_pos_as_xyz
'x,y,z'
'-x,-y,-z'
'-x,y,-z'
'x,-y,z'
'x+1/2,y+1/2,z'
'-x+1/2,-y+1/2,-z'
'-x+1/2,y+1/2,-z'
'x+1/2,-y+1/2,z'
loop_
_atom_site_label
_atom_site_type_symbol
_atom_site_fract_x
_atom_site_fract_y
_atom_site_fract_z
Pm1 Pm 0.127 0.000 0.438
Th1 Th 0.123 0.500 0.831
Pd1 Pd 0.172 0.500 0.181
# Calculated volume = 343 Å³/cell
# ΔE_f = -0.3400 eV/atom

Record 10
# Ca5PmCd6 PBE optimized geometry
data_Ca5PmCd6
_cell_length_a 5.420
_cell_length_b 16.212
_cell_length_c 7.703
_cell_angle_alpha 90.00
_cell_angle_beta 90.00
_cell_angle_gamma 90.00
_symmetry_space_group_name_H-M 'C m m m'
_symmetry_Int_Tables_number 65
_symmetry_space_group_name_Hall '-C 2 2'
loop_
_atom_site_label
_atom_site_type_symbol
_atom_site_fract_x
_atom_site_fract_y
_atom_site_fract_z
Ca1 Ca 0.000 0.000 0.000
Ca2 Ca 0.000 0.333 0.500
Ca3 Ca 0.000 0.334 0.000
Pm1 Pm 0.000 0.000 0.500
Cd1 Cd 0.000 0.166 0.252
Cd2 Cd 0.000 0.500 0.254
# Calculated volume = 677 Å³/cell
# ΔE_f = -0.3622 eV/atom

Record 11
# Tb4PmYS8 PBE optimized geometry
data_Tb4PmYS8
_cell_length_a 8.1027
_cell_length_b 8.1027
_cell_length_c 19.9498
_cell_angle_alpha 90.00
_cell_angle_beta 90.00
_cell_angle_gamma 120.00
_symmetry_space_group_name_H-M 'R 3 m'
_symmetry_Int_Tables_number 160
_symmetry_space_group_name_Hall 'R 3 -2"'
loop_
_atom_site_label
_atom_site_type_symbol
_atom_site_fract_x
_atom_site_fract_y
_atom_site_fract_z
Tb1 Tb 0.0000 0.0000 0.0000
Tb2 Tb 0.9996 0.4998 0.8744
Pm1 Pm 0.0000 0.0000 0.3747
Y1 Y 0.0000 0.0000 0.7488
S1 S 0.0000 0.0000 0.1326
S2 S 0.0000 0.0000 0.6165
S3 S 0.0146 0.5073 0.1290
S4 S 0.1745 0.3490 0.9532
# Formation energy from raw total energies = -2611.5 kJ/mol of formula units
# Calculated volume = 1134 Å³/cell

Record 12
# CaAgAu PBE optimized geometry
data_CaAgAu
_cell_length_a 6.778
_cell_length_b 6.778
_cell_length_c 6.778
_cell_angle_alpha 90.00
_cell_angle_beta 90.00
_cell_angle_gamma 90.00
_symmetry_space_group_name_H-M 'F -4 3 m'
_symmetry_Int_Tables_number 216
_symmetry_space_group_name_Hall 'F -4 2 3'
loop_
_atom_site_label
_atom_site_type_symbol
_atom_site_fract_x
_atom_site_fract_y
_atom_site_fract_z
Ca1 Ca 0.000 0.000 0.000
Ag1 Ag 0.000 0.000 0.500
Au1 Au 0.250 0.250 0.750
# Calculated volume = 311 Å³/cell
# ΔE_f = -0.4345 eV/atom

Record 13
# Rb4Cd2Cl PBE optimized geometry
data_Rb4Cd2Cl
_cell_length_a 6.774
_cell_length_b 6.774
_cell_length_c 17.153
_cell_angle_alpha 90.00
_cell_angle_beta 90.00
_cell_angle_gamma 90.00
_symmetry_space_group_name_H-M 'I 4/m m m'
_symmetry_Int_Tables_number 139
_symmetry_space_group_name_Hall '-I 4 2'
loop_
_atom_site_label
_atom_site_type_symbol
_atom_site_fract_x
_atom_site_fract_y
_atom_site_fract_z
Rb1 Rb 0.000 0.000 0.190
Rb2 Rb 0.000 0.500 0.000
Cd1 Cd 0.000 0.000 0.410
Cl1 Cl 0.000 0.000 0.000
# Formation energy from raw total energies = -318.0 kJ/mol of formula units
# Calculated volume = 787 Å³/cell

Record 14
# Li2Bi2Pb3 PBE optimized geometry
data_Li2Bi2Pb3
_cell_length_a 9.335
_cell_length_b 4.930
_cell_length_c 9.003
_cell_angle_alpha 90.00
_cell_angle_beta 107.53
_cell_angle_gamma 90.00
_symmetry_space_group_name_H-M 'C 1 2/m 1'
_symmetry_Int_Tables_number 12
loop_
_symmetry_equiv_pos_as_xyz
'x,y,z'
'-x,-y,-z'
'-x,y,-z'
'x,-y,z'
'x+1/2,y+1/2,z'
'-x+1/2,-y+1/2,-z'
'-x+1/2,y+1/2,-z'
'x+1/2,-y+1/2,z'
loop_
_atom_site_label
_atom_site_type_symbol
_atom_site_fract_x
_atom_site_fract_y
_atom_site_fract_z
Li1 Li 0.207 0.000 0.137
Bi1 Bi 0.094 0.000 0.770
Pb1 Pb 0.000 0.500 0.000
Pb2 Pb 0.130 0.500 0.406
# Calculated volume = 395 Å³/cell
# ΔE_f = -0.1497 eV/atom

Record 15
# YTa2Al6 PBE optimized geometry
data_YTa2Al6
_cell_length_a 3.997
_cell_length_b 6.796
_cell_length_c 12.752
_cell_angle_alpha 90.00
_cell_angle_beta 90.00
_cell_angle_gamma 90.00
_symmetry_space_group_name_H-M 'I m m m'
_symmetry_Int_Tables_number 71
_symmetry_space_group_name_Hall '-I 2 2'
loop_
_atom_site_label
_atom_site_type_symbol
_atom_site_fract_x
_atom_site_fract_y
_atom_site_fract_z
Y1 Y 0.000 0.000 0.000
Ta1 Ta 0.000 0.500 0.115
Al1 Al 0.000 0.184 0.500
Al2 Al 0.000 0.297 0.312
# Calculated volume = 346 Å³/cell
# ΔE_f = -0.1482 eV/atom

Record 16
# ZrSeI2N PBE optimized geometry
data_ZrSeI2N
_cell_length_a 6.004
_cell_length_b 6.004
_cell_length_c 4.023
_cell_angle_alpha 90.00
_cell_angle_beta 90.00
_cell_angle_gamma 90.00
_symmetry_space_group_name_H-M 'P 4/m m m'
_symmetry_Int_Tables_number 123
_symmetry_space_group_name_Hall '-P 4 2'
loop_
_atom_site_label
_atom_site_type_symbol
_atom_site_fract_x
_atom_site_fract_y
_atom_site_fract_z
Zr1 Zr 0.000 0.000 0.000
Se1 Se 0.500 0.500 0.500
I1 I 0.000 0.500 0.000
N1 N 0.000 0.000 0.500
# Formation energy from raw total energies = 69.8 kJ/mol of formula units
# Calculated volume = 145 Å³/cell

Record 17
# CdPRhCl2 PBE optimized geometry
data_CdPRhCl2
_cell_length_a 4.980
_cell_length_b 4.980
_cell_length_c 4.520
_cell_angle_alpha 90.00
_cell_angle_beta 90.00
_cell_angle_gamma 90.00
_symmetry_space_group_name_H-M 'P 4/m m m'
_symmetry_Int_Tables_number 123
_symmetry_space_group_name_Hall '-P 4 2'
loop_
_atom_site_label
_atom_site_type_symbol
_atom_site_fract_x
_atom_site_fract_y
_atom_site_fract_z
Cd1 Cd 0.000 0.000 0.000
P1 P 0.500 0.500 0.000
Rh1 Rh 0.500 0.500 0.500
Cl1 Cl 0.000 0.500 0.500
# Formation energy from raw total energies = -2.5 kJ/mol of formula units
# Calculated volume = 112 Å³/cell

Record 18
# Cd2MoCl PBE optimized geometry
data_Cd2MoCl
_cell_length_a 2.926
_cell_length_b 4.869
_cell_length_c 5.599
_cell_angle_alpha 90.00
_cell_angle_beta 90.00
_cell_angle_gamma 90.00
_symmetry_space_group_name_H-M 'P m m m'
_symmetry_Int_Tables_number 47
loop_
_symmetry_equiv_pos_as_xyz
'x,y,z'
'-x,-y,-z'
'-x,-y,z'
'x,y,-z'
'x,-y,-z'
'-x,y,z'
'-x,y,-z'
'x,-y,z'
loop_
_atom_site_label
_atom_site_type_symbol
_atom_site_fract_x
_atom_site_fract_y
_atom_site_fract_z
Cd1 Cd 0.000 0.000 0.000
Cd2 Cd 0.500 0.500 0.000
Mo1 Mo 0.000 0.500 0.500
Cl1 Cl 0.500 0.000 0.500
# Formation energy from raw total energies = 193.5 kJ/mol of formula units
# Calculated volume = 80 Å³/cell